[1]
An optimized crystal structure of ScAl2As. Source: Alexandria, functional PBE.

a = 9.6201 Å, b = 3.6802 Å, c = 4.5842 Å
α = 90.00°, β = 112.39°, γ = 90.00°
Space group Cm (No. 8)
Inequivalent atoms, fractional coordinates:
Sc (0.0000, 0.0000, 0.0000) (multiplicity 2)
Al (0.0392, 0.5000, 0.5491) (multiplicity 2)
Al (0.2762, 0.5000, 0.3443) (multiplicity 2)
As (0.2720, 0.0000, 0.9398) (multiplicity 2)

Properties
calculated formation energy	-0.4257	eV/atom
VASP energy	-40.34	eV/cell



[2]
An optimized crystal structure of Tl8Hg3Pb2. Source: Alexandria, functional PBE.

a = 14.9933 Å, b = 8.7193 Å, c = 6.5266 Å
α = 90.00°, β = 103.13°, γ = 90.00°
Space group C2/m (No. 12)
Inequivalent atoms, fractional coordinates:
Tl (0.0923, 0.0000, 0.3942) (multiplicity 4)
Tl (0.1151, 0.1903, 0.9524) (multiplicity 8)
Tl (0.2145, 0.5000, 0.2412) (multiplicity 4)
Hg (0.0000, 0.3206, 0.5000) (multiplicity 4)
Hg (0.0000, 0.5000, 0.0000) (multiplicity 2)
Pb (0.1903, 0.5000, 0.7166) (multiplicity 4)

Properties
calculated formation energy	0.0659	eV/atom
VASP energy	-52.79	eV/cell



[3]
An optimized crystal structure of La2Sm7Er3. Source: Alexandria, functional PBE.

a = 5.8033 Å, b = 38.4337 Å, c = 3.6534 Å
α = 90.00°, β = 90.00°, γ = 90.00°
Space group Cmmm (No. 65)
Inequivalent atoms, fractional coordinates:
La (0.0000, 0.1484, 0.0000) (multiplicity 4)
Sm (0.0000, 0.0000, 0.0000) (multiplicity 2)
Sm (0.0000, 0.0708, 0.5000) (multiplicity 4)
Sm (0.0000, 0.2313, 0.0000) (multiplicity 4)
Sm (0.0000, 0.4109, 0.0000) (multiplicity 4)
Er (0.0000, 0.3134, 0.5000) (multiplicity 4)
Er (0.0000, 0.5000, 0.5000) (multiplicity 2)

Properties
calculated formation energy	0.1199	eV/atom
VASP energy	-110.28	eV/cell



[4]
An optimized crystal structure of TaTl3S. Source: Alexandria, functional PBE.

a = 5.3955 Å, b = 5.3955 Å, c = 5.3955 Å
α = 90.00°, β = 90.00°, γ = 90.00°
Space group Pm-3m (No. 221)
Inequivalent atoms, fractional coordinates:
Ta (0.0000, 0.0000, 0.0000) (multiplicity 1)
Tl (0.0000, 0.5000, 0.5000) (multiplicity 3)
S (0.5000, 0.5000, 0.5000) (multiplicity 1)

Properties
VASP energy	-16.91	eV/cell
formation energy from raw total energies	1.23	eV/atom



- Which value of VASP energy does entry 3 give?
  -110.28 eV/cell